Record 1
Computed, not measured: K2AlSnO4 after structural relaxation at the PBE-GGA level of DFT.

Cell lengths 5.8389, 5.8389, 8.2158 Å; angles 90.00, 90.00, 90.00 degrees
Fractional positions:
1 K 0.0000 0.0000 0.0000
2 K 0.0000 0.5000 0.2500
3 K 0.5000 0.0000 0.7500
4 K 0.5000 0.5000 0.5000
5 Al 0.0000 0.0000 0.5000
6 Al 0.5000 0.5000 0.0000
7 Sn 0.0000 0.5000 0.7500
8 Sn 0.5000 0.0000 0.2500
9 O 0.1356 0.2233 0.6172
10 O 0.2233 0.8644 0.3828
11 O 0.2767 0.6356 0.8828
12 O 0.3644 0.2767 0.1172
13 O 0.6356 0.7233 0.1172
14 O 0.7233 0.3644 0.8828
15 O 0.7767 0.1356 0.3828
16 O 0.8644 0.7767 0.6172

The value obtained for the uncorrected formation energy is -1.909 eV per atom.

=====

Record 2
Computed, not measured: Sm4TlCuHg2 after structural relaxation at the PBE-GGA level of DFT.

Cell lengths 9.2238, 9.2238, 9.2238 Å; angles 33.51, 33.51, 33.51 degrees
Fractional positions:
1 Sm 0.1176 0.1176 0.1176
2 Sm 0.3684 0.3684 0.3684
3 Sm 0.6316 0.6316 0.6316
4 Sm 0.8824 0.8824 0.8824
5 Tl 0.5000 0.5000 0.5000
6 Cu 0.0000 0.0000 0.0000
7 Hg 0.2460 0.2460 0.2460
8 Hg 0.7540 0.7540 0.7540

The calculation puts the formation energy at -349 meV per atom.

=====

Record 3
Computed, not measured: ZnCd3 after structural relaxation at the PBE-GGA level of DFT.

Cell lengths 3.2418, 11.1331, 9.2061 Å; angles 90.00, 90.00, 90.00 degrees
Fractional positions:
1 Zn 0.0000 0.2468 0.2500
2 Zn 0.0000 0.7532 0.7500
3 Zn 0.5000 0.2532 0.7500
4 Zn 0.5000 0.7468 0.2500
5 Cd 0.0000 0.0310 0.7500
6 Cd 0.0000 0.3677 0.5289
7 Cd 0.0000 0.3677 0.9711
8 Cd 0.0000 0.6323 0.0289
9 Cd 0.0000 0.6323 0.4711
10 Cd 0.0000 0.9690 0.2500
11 Cd 0.5000 0.1323 0.0289
12 Cd 0.5000 0.1323 0.4711
13 Cd 0.5000 0.4690 0.2500
14 Cd 0.5000 0.5310 0.7500
15 Cd 0.5000 0.8677 0.5289
16 Cd 0.5000 0.8677 0.9711

The calculation puts the formation energy at 61 meV per atom.

=====

Density values, unit g cm⁻³, following the record order: 3.41 9.90 8.05.
V values, unit Å³ per cell, following the record order: 280.09 213.08 332.26.
Total magnetization values, unit μB/cell, following the record order: 0.00 1.02 0.00.